[1]
## LaSm2Pd (PBE)

Data for a relaxed structure of LaSm2Pd.

a b c (Å): 3.6485 3.6485 8.8357
angles (deg): 90.00 90.00 90.00
Fractional coordinates of all 4 atoms:
Sm (0.0000, 0.0000, 0.1921)
Sm (0.0000, 0.0000, 0.8079)
Pd (0.5000, 0.5000, 0.0000)
La (0.5000, 0.5000, 0.5000)

Calculated values
E above lowest polymorph: 68.3 meV/atom
total DFT energy (no corrections): -5.248 eV/atom
size of the total moment: 0.00 μB per formula unit
Fermi-level density of states: 1.55 states/eV per atom
ΔE_f: -0.36 eV per atom


[2]
## La2SmPd2 (PBE)

Data for a relaxed structure of La2SmPd2.

a b c (Å): 4.0952 8.1106 8.1106
angles (deg): 90.00 90.00 90.00
Fractional coordinates of all 10 atoms:
Pd (0.0000, 0.3706, 0.8706)
Pd (0.0000, 0.6294, 0.1294)
Pd (0.0000, 0.1294, 0.3706)
Pd (0.0000, 0.8706, 0.6294)
La (0.5000, 0.1684, 0.6684)
La (0.5000, 0.3316, 0.1684)
La (0.5000, 0.6684, 0.8316)
La (0.5000, 0.8316, 0.3316)
Sm (0.0000, 0.5000, 0.5000)
Sm (0.0000, 0.0000, 0.0000)

Calculated values
total DFT energy (no corrections): -5.655 eV/atom
size of the total moment: 0.00 μB per formula unit
Fermi-level density of states: 0.82 states/eV per atom
ΔE_f: -0.66 eV per atom


[3]
## LaSmPd4 (PBE)

Data for a relaxed structure of LaSmPd4.

a b c (Å): 4.2906 5.9276 10.1530
angles (deg): 90.00 102.20 90.00
Fractional coordinates of all 12 atoms:
La (0.4211, 0.2500, 0.8421)
La (0.5789, 0.7500, 0.1579)
Pd (0.4262, 0.7500, 0.8523)
Pd (0.1476, 0.0165, 0.2951)
Pd (0.8524, 0.9835, 0.7049)
Pd (0.0000, 0.0000, 0.0000)
Pd (0.8524, 0.5165, 0.7049)
Pd (0.0000, 0.5000, 0.0000)
Pd (0.5738, 0.2500, 0.1477)
Pd (0.1476, 0.4835, 0.2951)
Sm (0.2757, 0.7500, 0.5513)
Sm (0.7243, 0.2500, 0.4487)

Calculated values
E above lowest polymorph: 0.0 meV/atom
total DFT energy (no corrections): -5.891 eV/atom
size of the total moment: 0.00 μB per formula unit
Fermi-level density of states: 0.27 states/eV per atom
ΔE_f: -0.82 eV per atom


[4]
## LaSmPd10 (PBE)

Data for a relaxed structure of LaSmPd10.

a b c (Å): 4.5052 5.3629 9.2794
angles (deg): 90.00 90.00 90.00
Fractional coordinates of all 12 atoms:
Pd (0.5000, 0.7492, 0.7481)
Pd (0.0000, 0.5000, 0.1689)
Pd (0.0000, 0.0000, 0.3359)
Pd (0.5000, 0.2508, 0.2519)
Pd (0.0000, 0.5000, 0.8311)
Pd (0.5000, 0.5000, 0.0000)
Pd (0.0000, 0.0000, 0.6641)
Pd (0.5000, 0.7492, 0.2519)
Pd (0.5000, 0.2508, 0.7481)
Pd (0.5000, 0.0000, 0.5000)
Sm (0.0000, 0.5000, 0.5000)
La (0.0000, 0.0000, 0.0000)

Calculated values
total DFT energy (no corrections): -5.674 eV/atom
size of the total moment: 0.00 μB per formula unit
Fermi-level density of states: 1.01 states/eV per atom
ΔE_f: -0.54 eV per atom